Crystalline RbZrPO at its relaxed geometry. Source: OQMD via LeMat-Bulk, functional GGA-PBE.

Cell and atoms, written as POSCAR:
```
RbZrPO
1.0
-3.1169 1.3485 -1.3313
0.9051 -4.0248 -6.1956
-3.9032 -5.8397 3.2234
O P Rb Zr
2 2 2 2
Cartesian
-1.0616 -6.0607 -3.6533
-3.6132 -6.3124 2.0658
-2.1573 -2.7558 -2.7377
-4.0566 -5.9083 -1.4841
0.5703 -3.3699 -4.7486
-1.8974 -3.9945 0.3964
-2.8377 -5.0172 -3.4353
-5.1555 -6.3088 0.6829
```

* SG: No. 26
* calculated volume: 104.92 Å³/f.u.
* calculated total energy: -6.388 eV/atom
* E above lowest polymorph: 0 meV/atom

---

Crystalline ZrNiMoPb at its relaxed geometry. Source: OQMD via LeMat-Bulk, functional GGA-PBE.

Cell and atoms, written as POSCAR:
```
ZrNiMoPb
1.0
0.0000 3.3054 3.3054
3.3054 0.0000 3.3054
3.3054 3.3054 0.0000
Mo Ni Pb Zr
1 1 1 1
Cartesian
1.6527 1.6527 1.6527
4.9581 4.9581 4.9581
0.0000 0.0000 0.0000
3.3054 3.3054 3.3054
```

* SG: No. 216
* calculated volume: 72.23 Å³/f.u.
* calculated total energy: -6.912 eV/atom

---

Crystalline La2DyIn3CuAg2 at its relaxed geometry. Source: OQMD via LeMat-Bulk, functional GGA-PBE.

Cell and atoms, written as POSCAR:
```
La2DyIn3CuAg2
1.0
4.0793 0.0000 0.0000
0.0000 6.8421 3.9479
0.0000 -6.8421 3.9479
Ag Cu Dy In La
2 1 1 3 2
Cartesian
2.0397 2.1900 3.9635
2.0397 -2.1900 3.9635
0.0000 0.0000 7.8596
0.0000 0.0000 4.7475
2.0397 0.0000 1.9458
2.0397 1.6456 6.9024
2.0397 -1.6456 6.9024
0.0000 4.0710 5.5448
0.0000 -4.0710 5.5448
```

* SG: No. 38
* calculated volume: 220.38 Å³/f.u.
* calculated total energy: -3.984 eV/atom

---

Crystalline Nd23Mg4Pt7 at its relaxed geometry. Source: OQMD via LeMat-Bulk, functional GGA-PBE.

Cell and atoms, written as POSCAR:
```
Nd23Mg4Pt7
1.0
-5.9489 -6.7326 -4.6315
9.3778 -2.5869 2.7449
-7.8725 -7.0047 20.2941
Mg Nd Pt
8 46 14
Cartesian
-1.9755 -1.7577 5.0924
-1.5070 -3.8118 7.4766
4.8874 -5.5757 9.3483
0.8310 -10.1665 6.1902
-5.9117 -5.2601 15.2395
-7.0685 -7.7538 16.8414
-11.1249 -12.3446 13.6833
-4.7305 -14.1085 15.5550
3.9201 -2.5177 2.8450
1.6439 -5.0938 1.0728
5.2321 -6.0836 2.1231
-1.4032 -3.0423 1.9266
-5.0339 -7.1513 -0.9001
0.6895 -8.7301 0.7752
-1.9573 -6.3448 0.7074
0.9088 -4.0104 4.6624
4.4682 -4.9923 5.7043
2.2102 -7.5477 3.9463
-2.7416 -5.2183 4.4486
-5.0993 -7.8866 2.6130
-1.3827 -8.9118 3.7009
1.7638 -4.5017 8.3421
-0.4280 -6.9822 6.6357
3.0271 -7.9353 7.6470
-4.0385 -6.4425 7.7255
-6.3053 -9.0080 5.9607
-2.7320 -9.9937 7.0066
-1.1636 -5.9670 10.1684
2.2599 -6.9114 11.1705
0.0881 -9.3692 9.4797
-3.9154 -3.4838 10.0932
-7.0798 -7.9308 9.5924
-5.7678 -11.4967 8.8705
-3.4916 -8.9206 10.6427
-3.3486 -6.0062 13.0319
2.3748 -7.5850 14.7071
-1.2559 -11.6940 11.8804
-0.7847 -8.4653 13.3133
-6.1972 -8.3702 13.2839
-8.4552 -10.9256 11.5260
-4.8958 -11.9075 12.5678
-3.5937 -7.8865 16.0800
0.1228 -8.9117 17.1679
-2.2348 -11.5800 15.3323
-9.1636 -9.8952 15.1244
-7.9003 -13.3287 14.4293
-5.7086 -10.8482 16.1357
-4.8126 -9.0896 19.3945
-1.2392 -10.0753 20.4404
-3.5061 -12.6408 18.6756
-8.3437 -10.3467 18.7543
-10.5155 -12.8046 17.0635
-7.0919 -13.7490 18.0656
-7.8516 -6.9862 20.2403
1.3148 -2.1504 1.4371
6.6838 -3.6314 3.0087
3.2779 -7.4861 0.3570
-4.3373 -5.1168 1.9794
-0.2979 -6.2311 3.1618
-2.8604 -9.1312 1.1667
-3.6907 -7.8872 5.1760
-4.8054 -6.2434 10.5331
-8.2114 -10.0981 7.8814
-2.8423 -11.5792 9.4530
-0.9640 -6.6421 15.6444
-3.5265 -9.5421 13.6494
0.5129 -10.6564 14.8317
-2.5181 -10.0077 17.7819
```

* SG: No. 186
* calculated volume: 1011.64 Å³/f.u.
* calculated total energy: -5.200 eV/atom

---

Crystalline MgZnFeTe3 at its relaxed geometry. Source: OQMD via LeMat-Bulk, functional GGA-PBE.

Cell and atoms, written as POSCAR:
```
MgZnFeTe3
1.0
-5.8219 -0.5962 -3.6688
-2.8717 -1.0370 -6.1958
-0.0496 -11.4276 1.9357
Fe Mg Te Zn
2 2 6 2
Cartesian
-4.0896 -3.6229 -4.1424
-4.6537 -9.4380 -3.7865
-6.8823 -4.1475 -7.3113
-1.8610 -8.9133 -0.6176
-3.1245 -1.3475 -3.4127
-0.8866 -3.0211 -0.5080
-3.1427 -5.5391 -2.7027
-5.6005 -7.5218 -5.2262
-7.8566 -10.0397 -7.4208
-5.6187 -11.7134 -4.5162
0.0000 0.0000 0.0000
-0.0248 -5.7138 0.9679
```

* SG: No. 63
* calculated volume: 150.09 Å³/f.u.
* calculated total energy: -3.566 eV/atom

---

Crystalline Pt2Se at its relaxed geometry. Source: OQMD via LeMat-Bulk, functional GGA-PBE.

Cell and atoms, written as POSCAR:
```
Pt2Se
1.0
-2.0659 -4.9146 -0.0239
-3.6104 -1.3917 3.6674
-5.0855 -0.7470 -1.4150
Pt Se
4 2
Cartesian
-4.1834 -4.0348 2.1004
-4.9210 -3.7125 -0.4408
-5.6932 -1.9510 1.4048
-6.7262 -4.4083 1.3929
0.0000 0.0000 0.0000
-2.6905 -1.7633 0.5572
```

* SG: No. 227
* calculated volume: 53.57 Å³/f.u.
* calculated total energy: -4.660 eV/atom
* E above lowest polymorph: 0 meV/atom

---

Question: The lowest calculated volume belongs to which entry?
Answer: Pt2Se